[1]
K2ScAu after structural relaxation, computed with PBE.

Cell lengths 5.7973, 5.7973, 5.7973 Å; angles 60.00, 60.00, 60.00 degrees
Element x y z (fractional)
K 0.2500 0.2500 0.2500
K 0.7500 0.7500 0.7500
Sc 0.0000 0.0000 0.0000
Au 0.5000 0.5000 0.5000

Values from the calculation:
* energy relative to the elements: 2.2 eV/f.u.
* energy above the lowest structure with this stoichiometry: 2.70 eV/f.u.
* SG: No. 225
* V: 137.77 Å³/cell

=====

[2]
CuSnF6 after structural relaxation, computed with PBE.

Cell lengths 5.1017, 5.1017, 9.5572 Å; angles 90.00, 90.00, 120.00 degrees
Element x y z (fractional)
Cu 0.3333 0.6667 0.2500
Cu 0.6667 0.3333 0.7500
Sn 0.0000 0.0000 0.0000
Sn 0.0000 0.0000 0.5000
F 0.0281 0.3338 0.1225
F 0.0281 0.6943 0.3775
F 0.3057 0.3338 0.3775
F 0.3057 0.9719 0.1225
F 0.3338 0.0281 0.6225
F 0.3338 0.3057 0.8775
F 0.6662 0.6943 0.1225
F 0.6662 0.9719 0.3775
F 0.6943 0.0281 0.8775
F 0.6943 0.6662 0.6225
F 0.9719 0.3057 0.6225
F 0.9719 0.6662 0.8775

Values from the calculation:
* energy above the lowest structure with this stoichiometry: 0.12 eV/f.u.
* SG: No. 163
* V: 215.42 Å³/cell
* formation energy (no corrections): -2.08 eV/atom

=====

[3]
NdDyRhPb after structural relaxation, computed with PBE.

Cell lengths 5.2348, 5.2348, 5.2348 Å; angles 60.00, 60.00, 60.00 degrees
Element x y z (fractional)
Nd 0.0000 0.0000 0.0000
Dy 0.5000 0.5000 0.5000
Rh 0.7500 0.7500 0.7500
Pb 0.2500 0.2500 0.2500

Values from the calculation:
* energy relative to the elements: -1.9 eV/f.u.
* SG: No. 216
* V: 101.43 Å³/cell

=====

[4]
Pd2Pb2F7 after structural relaxation, computed with PBE.

Cell lengths 6.0311, 6.0311, 5.8451 Å; angles 96.73, 96.73, 85.50 degrees
Element x y z (fractional)
Pd 0.2283 0.7717 0.0000
Pd 0.7717 0.2283 0.0000
Pb 0.2344 0.2344 0.5089
Pb 0.7656 0.7656 0.4911
F 0.0381 0.0381 0.7826
F 0.0439 0.5485 0.7576
F 0.4515 0.9561 0.2424
F 0.5000 0.5000 0.5000
F 0.5485 0.0439 0.7576
F 0.9561 0.4515 0.2424
F 0.9619 0.9619 0.2174

Values from the calculation:
* SG: No. 12
* V: 209.24 Å³/cell
* formation energy (no corrections): -1.59 eV/atom

=====

Computed magnetic moment (μB per formula unit) in order:
1.67 1.00 0.00 3.01
Computed E (hartree per atom) in order:
-0.0882 -0.1652 -0.2049 -0.1615
Computed theoretical density (g/cm3) in order:
3.858 4.567 10.098 6.033